First-principles (GGA-PBE) data for a relaxed structure of NdEr5Sc4, as listed in the Alexandria database.

Calculated values
DOS at the Fermi energy in states/eV per cell: 32.2
Polymorph energy (0 for the lowest one) in kcal/mol of atoms: 0.00
DFT total energy in eV/atom: -4.999
E_form in meV per atom: 292
Total magnetization in μB per formula unit: 0.00

Cell: 5.367 11.121 10.069 Å, 90.00 90.00 90.00°
Positions (direct):
Nd: 0.748 0.500 0.500
Nd: 0.252 0.000 0.000
Sc: 0.751 0.000 0.751
Sc: 0.751 0.806 0.000
Sc: 0.249 0.500 0.749
Sc: 0.249 0.306 0.500
Sc: 0.249 0.694 0.500
Sc: 0.751 0.194 0.000
Sc: 0.249 0.500 0.251
Sc: 0.751 0.000 0.249
Er: 0.750 0.702 0.699
Er: 0.750 0.298 0.699
Er: 0.749 0.500 0.000
Er: 0.750 0.702 0.301
Er: 0.251 0.000 0.500
Er: 0.750 0.298 0.301
Er: 0.250 0.202 0.199
Er: 0.250 0.798 0.801
Er: 0.250 0.202 0.801
Er: 0.250 0.798 0.199